[1]
## HoAg2S3 (PBE)

Data for a relaxed structure of HoAg2S3.

a = 7.981 Å, b = 12.418 Å, c = 5.202 Å
α = 90.00°, β = 90.00°, γ = 90.00°
Space group Cmcm (No. 63)
Asymmetric unit:
Ho  0.000  0.241  0.250 x4
Ag  0.219  0.500  0.000 x8
S  0.000  0.367  0.750 x4
S  0.196  0.164  0.750 x8

[2]
## HoAg3S3 (PBE)

Data for a relaxed structure of HoAg3S3.

a = 7.2394 Å, b = 7.2394 Å, c = 20.0674 Å
α = 90.00°, β = 90.00°, γ = 120.00°
Space group R-3 (No. 148, hexagonal axes)
Asymmetric unit:
Ho  0.0000  0.0000  0.1652 x6
Ag  0.0064  0.3138  0.6225 x18
S  0.0040  0.3589  0.4264 x18

[3]
## Ho5AgS4 (PBE)

Data for a relaxed structure of Ho5AgS4.

a = 13.231 Å, b = 3.883 Å, c = 9.785 Å
α = 90.00°, β = 120.27°, γ = 90.00°
Space group C2/m (No. 12)
Asymmetric unit:
Ho  0.000  0.000  0.000 x2
Ho  0.108  0.500  0.392 x4
Ho  0.204  0.000  0.809 x4
Ag  0.000  0.000  0.500 x2
S  0.099  0.500  0.903 x4
S  0.202  0.000  0.294 x4

We obtain formation energy without anion corrections values of -527.8; -738.7; -1595.6 meV per atom for the records listed above, in that order.